Tl2ZnMo: optimized geometry, PBE.

Lattice parameters (Å, degrees): 5.1797 5.1797 3.1802 90.00 90.00 108.47
Site moments in Bohr magnetons follow the coordinates.
Atoms (fractional coordinates):
Tl  0.5000  0.5000  0.0000  0.00
Tl  0.0000  0.0000  0.0000  0.00
Mo  0.0000  0.5000  0.5000  0.87
Zn  0.5000  0.0000  0.5000  0.01

Summary:
Formation enthalpy at 0 K in eV per atom: 0.6415
Total moment in μB/cell: 1.0
DFT total energy in eV/atom: -3.568
Energy above the most stable polymorph in this dataset in eV/atom: 0.167